1.
{
  "formula": "CaBeTl2",
  "functional": "PBE",
  "state": "relaxed",
  "lattice_angstrom": [[0.000, 3.667, 3.667], [3.667, 0.000, 3.667], [3.667, 3.667, 0.000]],
  "species": ["Ca", "Be", "Tl", "Tl"],
  "frac_coords": [[0.000, 0.000, 0.000], [0.750, 0.750, 0.750], [0.250, 0.250, 0.250], [0.500, 0.500, 0.500]],
  "space_group": "F-43m"
}

2.
{
  "formula": "La2TcGe2",
  "functional": "PBE",
  "state": "relaxed",
  "lattice_angstrom": [[7.095, 0.000, 0.000], [0.000, 7.095, 0.000], [0.000, 0.000, 4.603]],
  "species": ["La", "La", "La", "La", "Tc", "Tc", "Ge", "Ge", "Ge", "Ge"],
  "frac_coords": [[0.179, 0.321, 0.000], [0.321, 0.821, 0.000], [0.679, 0.179, 0.000], [0.821, 0.679, 0.000], [0.000, 0.000, 0.500], [0.500, 0.500, 0.500], [0.131, 0.631, 0.500], [0.369, 0.131, 0.500], [0.631, 0.869, 0.500], [0.869, 0.369, 0.500]],
  "space_group": "P4/mbm"
}

3.
{
  "formula": "Rb3TiPd",
  "functional": "PBE",
  "state": "relaxed",
  "lattice_angstrom": [[6.458, 0.000, 0.000], [0.000, 6.458, 0.000], [0.000, 0.000, 6.458]],
  "species": ["Rb", "Rb", "Rb", "Ti", "Pd"],
  "frac_coords": [[0.000, 0.000, 0.500], [0.000, 0.500, 0.000], [0.500, 0.000, 0.000], [0.500, 0.500, 0.500], [0.000, 0.000, 0.000]],
  "space_group": "Pm-3m"
}

Number 1: DOS at the Fermi energy 1.13 states/eV per cell, raw total energy -9.463 eV per cell, energy of formation 5.748 kcal/mol of atoms. Number 2: DOS at the Fermi energy 9.55 states/eV per cell, raw total energy -63.732 eV per cell, energy of formation -11.117 kcal/mol of atoms. Number 3: DOS at the Fermi energy 27.17 states/eV per cell, raw total energy -11.018 eV per cell, energy of formation 22.934 kcal/mol of atoms.